# NdNiBi | the Alexandria database | PBEsol | optimized geometry
# Size of the total moment in μB/f.u.: 0.00
# Energy relative to the elements in eV/f.u.: -2.07
data_NdNiBi
_chemical_formula_sum 'Nd4 Ni4 Bi4'
_space_group_name_H-M_alt 'F -4 3 m'
_space_group_IT_number 216
_space_group_name_Hall 'F -4 2 3'
_cell_length_a 6.528
_cell_length_b 6.528
_cell_length_c 6.528
_cell_angle_alpha 90.00
_cell_angle_beta 90.00
_cell_angle_gamma 90.00
loop_
_atom_site_label
_atom_site_type_symbol
_atom_site_fract_x
_atom_site_fract_y
_atom_site_fract_z
Nd1 Nd 0.000 0.000 0.000
Ni1 Ni 0.250 0.250 0.750
Bi1 Bi 0.000 0.000 0.500


# NdBiO4 | the Alexandria database | PBEsol | optimized geometry
# Size of the total moment in μB/f.u.: 0.00
# Energy relative to the elements, uncorrected in eV/atom: -1.98
data_NdBiO4
_chemical_formula_sum 'Nd4 Bi4 O16'
_space_group_name_H-M_alt 'C 1 2/c 1'
_space_group_IT_number 15
_cell_length_a 7.329
_cell_length_b 11.315
_cell_length_c 5.318
_cell_angle_alpha 90.00
_cell_angle_beta 129.77
_cell_angle_gamma 90.00
loop_
_space_group_symop_operation_xyz
'x,y,z'
'-x,-y,-z'
'-x,y,-z+1/2'
'x,-y,z+1/2'
'x+1/2,y+1/2,z'
'-x+1/2,-y+1/2,-z'
'-x+1/2,y+1/2,-z+1/2'
'x+1/2,-y+1/2,z+1/2'
loop_
_atom_site_label
_atom_site_type_symbol
_atom_site_fract_x
_atom_site_fract_y
_atom_site_fract_z
Nd1 Nd 0.000 0.136 0.250
Bi1 Bi 0.000 0.401 0.750
O1 O 0.168 0.282 0.669
O2 O 0.238 0.473 0.233


# NdBi3Ru4O14 | the Alexandria database | PBEsol | optimized geometry
# Size of the total moment in μB/f.u.: 0.00
# Energy relative to the elements, uncorrected in eV/atom: -1.41
# D(E_F) in states/eV per atom: 0.2711
data_NdBi3Ru4O14
_chemical_formula_sum 'Nd3 Bi9 Ru12 O42'
_space_group_name_H-M_alt 'R -3 m'
_space_group_IT_number 166
_space_group_name_Hall '-R 3 2"'
_cell_length_a 7.2369
_cell_length_b 7.2369
_cell_length_c 17.8443
_cell_angle_alpha 90.00
_cell_angle_beta 90.00
_cell_angle_gamma 120.00
loop_
_atom_site_label
_atom_site_type_symbol
_atom_site_fract_x
_atom_site_fract_y
_atom_site_fract_z
Nd1 Nd 0.0000 0.0000 0.0000
Bi1 Bi 0.0000 0.5000 0.5000
Ru1 Ru 0.0000 0.0000 0.5000
Ru2 Ru 0.0000 0.5000 0.0000
O1 O 0.0000 0.0000 0.1250
O2 O 0.0644 0.5322 0.1092
O3 O 0.0655 0.5328 0.3610


- Number 1 is which compound?
  NdNiBi


- size of the total moment of number 1 (NdNiBi)?
  0.00 μB/f.u.